Record 1
First-principles (PBE) data for a relaxed MgSiRu crystal, as listed in the Alexandria database.

The calculation puts the total DFT energy (no corrections) at -5.8113 eV per atom. As for the uncorrected formation energy: -0.38 eV/atom. The total magnetization comes out at 0.00 μB per atom.

The space group is C2/m (No. 12) and the conventional cell measures 9.0871, 3.1573 and 6.4574 Å, with angles of 90.00, 110.57 and 90.00 degrees. The asymmetric unit holds Mg at (0.1601, 0.0000, 0.0863), Si at (0.1568, 0.0000, 0.5781) and Ru at (0.0070, 0.5000, 0.2823).

***

Record 2
First-principles (PBE) data for a relaxed PrErTlAg crystal, as listed in the Alexandria database.

Its formation energy is -312.9 meV per atom. The calculation puts the total DFT energy (no corrections) at -3.9529 eV per atom. The calculation puts the energy above the most stable polymorph in this dataset at 18.9 meV/atom. The total magnetization comes out at 0.06 μB per atom.

The space group is F-43m (No. 216) and the conventional cell measures 7.5697, 7.5697 and 7.5697 Å, with angles of 90.00, 90.00 and 90.00 degrees. The asymmetric unit holds Pr at (0.0000, 0.0000, 0.0000), Er at (0.0000, 0.0000, 0.5000), Tl at (0.2500, 0.2500, 0.7500) and Ag at (0.2500, 0.2500, 0.2500).

***

Record 3
First-principles (PBE) data for a relaxed SmYCoHg crystal, as listed in the Alexandria database.

Its formation energy is -194.8 meV per atom. The calculation puts the total DFT energy (no corrections) at -4.8425 eV per atom. The total magnetization comes out at 0.13 μB per atom.

The space group is F-43m (No. 216) and the conventional cell measures 7.2019, 7.2019 and 7.2019 Å, with angles of 90.00, 90.00 and 90.00 degrees. The asymmetric unit holds Sm at (0.0000, 0.0000, 0.0000), Y at (0.0000, 0.0000, 0.5000), Co at (0.2500, 0.2500, 0.2500) and Hg at (0.2500, 0.2500, 0.7500).

***

Record 4
First-principles (PBE) data for a relaxed Tb2Ho2ErSc crystal, as listed in the Alexandria database.

Its formation energy is 279.3 meV per atom. The calculation puts the total DFT energy (no corrections) at -4.6058 eV per atom. The total magnetization comes out at 0.00 μB per atom.

The space group is Pnnm (No. 58) and the conventional cell measures 6.4833, 17.2640 and 3.3075 Å, with angles of 90.00, 90.00 and 90.00 degrees. The asymmetric unit holds Tb at (0.2470, 0.1805, 0.0000), Ho at (0.2447, 0.3540, 0.5000), Er at (0.0000, 0.5000, 0.0000) and Sc at (0.0000, 0.0000, 0.0000).